Record 1
This record from the Alexandria database describes a geometry-optimized Sc4TlSbH structure. The functional is GGA-PBE.

Lattice parameters (Å, degrees): 6.016 6.027 8.407 90.00 110.97 90.00
Last column: magnetic moment on the atom in μB.
Positions (direct):
Sc 0.926 0.250 0.852  -0.01
Sc 0.423 0.750 0.846  -0.02
Sc 0.074 0.750 0.148  -0.01
Sc 0.577 0.250 0.154  -0.02
Sc 0.500 0.500 0.500  0.30
Sc 0.000 0.000 0.500  0.30
Sc 0.500 0.000 0.500  0.30
Sc 0.000 0.500 0.500  0.30
Tl 0.111 0.250 0.223  0.00
Tl 0.889 0.750 0.777  0.00
Sb 0.611 0.750 0.222  0.00
Sb 0.389 0.250 0.778  0.00
H 0.286 0.750 0.573  0.00
H 0.714 0.250 0.427  0.00

- Electronic total energy: -5.57 eV/atom
- N(E_F): 11.303 states/eV per cell
- SG: No. 63


Record 2
This record from the Alexandria database describes a geometry-optimized ScVSbH2 structure. The functional is GGA-PBE.

Lattice parameters (Å, degrees): 3.868 5.925 3.868 90.00 90.00 90.00
Last column: magnetic moment on the atom in μB.
Positions (direct):
Sc 0.000 0.000 0.000  0.13
Sb 0.000 0.500 0.000  -0.12
H 0.000 0.000 0.500  0.00
H 0.500 0.000 0.000  0.00
V 0.500 0.500 0.500  2.45

- Electronic total energy: -5.17 eV/atom
- N(E_F): 5.915 states/eV per cell
- SG: No. 123


Record 3
This record from the Alexandria database describes a geometry-optimized ZrScSbH2 structure. The functional is GGA-PBE.

Lattice parameters (Å, degrees): 3.985 6.120 3.985 90.00 90.00 90.00
Positions (direct):
Sc 0.000 0.500 0.000
Sb 0.500 0.500 0.500
Zr 0.000 0.000 0.000
H 0.000 0.000 0.500
H 0.500 0.000 0.000

- Electronic total energy: -5.10 eV/atom
- N(E_F): 2.688 states/eV per cell
- SG: No. 123


Record 4
This record from the Alexandria database describes a geometry-optimized Zr2ScSbH structure. The functional is GGA-PBE.

Lattice parameters (Å, degrees): 4.362 4.362 4.672 90.00 90.00 90.00
Positions (direct):
Sc 0.000 0.000 0.500
Sb 0.500 0.500 0.500
Zr 0.000 0.500 0.000
Zr 0.500 0.000 0.000
H 0.000 0.000 0.000

- Electronic total energy: -6.72 eV/atom
- N(E_F): 3.312 states/eV per cell
- SG: No. 123


Record 5
This record from the Alexandria database describes a geometry-optimized SbHSe2 structure. The functional is GGA-PBE.

Lattice parameters (Å, degrees): 8.768 8.768 8.768 20.95 20.95 20.95
Positions (direct):
Sb 0.000 0.000 0.000
Se 0.889 0.889 0.889
Se 0.111 0.111 0.111
H 0.500 0.500 0.500

- N(E_F): 2.032 states/eV per cell
- SG: No. 166
- E above lowest polymorph: 769.8 meV/atom


Record 6
This record from the Alexandria database describes a geometry-optimized SbH3Se structure. The functional is GGA-PBE.

Lattice parameters (Å, degrees): 3.879 3.879 3.879 90.00 90.00 90.00
Positions (direct):
Sb 0.500 0.500 0.500
Se 0.000 0.000 0.000
H 0.000 0.500 0.000
H 0.000 0.000 0.500
H 0.500 0.000 0.000

- N(E_F): 1.568 states/eV per cell
- SG: No. 221
- E above lowest polymorph: 152.7 meV/atom


Record 7
This record from the Alexandria database describes a geometry-optimized SbH2Se structure. The functional is GGA-PBE.

Lattice parameters (Å, degrees): 4.205 4.205 4.205 60.00 60.00 60.00
Positions (direct):
Sb 0.500 0.500 0.500
Se 0.000 0.000 0.000
H 0.250 0.250 0.250
H 0.750 0.750 0.750

- N(E_F): 1.276 states/eV per cell
- SG: No. 225
- E above lowest polymorph: 719.8 meV/atom


Record 8
This record from the Alexandria database describes a geometry-optimized SbH2Se structure. The functional is GGA-PBE.

Lattice parameters (Å, degrees): 3.305 3.305 6.406 75.05 75.05 60.00
Positions (direct):
Sb 0.000 0.000 0.000
Se 0.500 0.500 0.500
H 0.112 0.112 0.663
H 0.888 0.888 0.337

- N(E_F): 1.390 states/eV per cell
- SG: No. 166
- E above lowest polymorph: 612.8 meV/atom


Record 9
This record from the Alexandria database describes a geometry-optimized SbHSe2 structure. The functional is GGA-PBE.

Lattice parameters (Å, degrees): 4.798 4.798 4.798 60.00 60.00 60.00
Last column: magnetic moment on the atom in μB.
Positions (direct):
Sb 0.500 0.500 0.500  0.01
Se 0.250 0.250 0.250  -0.02
Se 0.750 0.750 0.750  -0.02
H 0.000 0.000 0.000  0.11

- N(E_F): 1.681 states/eV per cell
- SG: No. 225
- E above lowest polymorph: 731.3 meV/atom


Record 10
This record from the Alexandria database describes a geometry-optimized SbH3Se structure. The functional is GGA-PBE.

Lattice parameters (Å, degrees): 3.960 3.960 3.960 90.00 90.00 90.00
Last column: magnetic moment on the atom in μB.
Positions (direct):
Sb 0.000 0.000 0.000  -0.01
Se 0.500 0.500 0.500  0.21
H 0.000 0.500 0.000  0.01
H 0.000 0.000 0.500  0.00
H 0.500 0.000 0.000  0.02

- N(E_F): 2.326 states/eV per cell
- SG: No. 221
- E above lowest polymorph: 0.0 meV/atom


Record 11
This record from the Alexandria database describes a geometry-optimized SbHSe structure. The functional is GGA-PBE.

Lattice parameters (Å, degrees): 4.477 6.217 10.245 35.41 123.34 115.64
Positions (direct):
Sb 0.628 0.009 0.216
Sb 0.372 0.991 0.784
H 0.382 0.830 0.377
H 0.618 0.170 0.623
Se 0.080 0.491 0.806
Se 0.920 0.509 0.194

- SG: No. 2
- E above lowest polymorph: 13.9 meV/atom


Record 12
This record from the Alexandria database describes a geometry-optimized Sb2H2Se structure. The functional is GGA-PBE.

Lattice parameters (Å, degrees): 3.763 3.763 6.451 73.04 73.04 90.00
Positions (direct):
Sb 0.362 0.362 0.276
Sb 0.638 0.638 0.724
Se 0.000 0.000 0.000
H 0.750 0.250 0.500
H 0.250 0.750 0.500

- N(E_F): 2.170 states/eV per cell
- SG: No. 139
- E above lowest polymorph: 0.0 meV/atom


Record 13
This record from the Alexandria database describes a geometry-optimized Sb3HSe structure. The functional is GGA-PBE.

Lattice parameters (Å, degrees): 4.735 4.735 4.735 90.00 90.00 90.00
Positions (direct):
Sb 0.000 0.500 0.000
Sb 0.000 0.000 0.500
Sb 0.500 0.000 0.000
Se 0.500 0.500 0.500
H 0.000 0.000 0.000

- N(E_F): 3.600 states/eV per cell
- SG: No. 221
- E above lowest polymorph: 0.0 meV/atom


Record 14
This record from the Alexandria database describes a geometry-optimized SbH2Se2 structure. The functional is GGA-PBE.

Lattice parameters (Å, degrees): 3.874 3.876 9.275 92.49 90.00 119.99
Positions (direct):
Sb 0.000 0.000 0.000
H 0.977 0.954 0.462
H 0.023 0.046 0.538
Se 0.679 0.358 0.180
Se 0.321 0.642 0.820

- N(E_F): 2.481 states/eV per cell
- SG: No. 12
- E above lowest polymorph: 0.0 meV/atom


Record 15
This record from the Alexandria database describes a geometry-optimized SbHSe2 structure. The functional is GGA-PBE.

Lattice parameters (Å, degrees): 7.075 7.075 7.075 34.99 34.99 34.99
Positions (direct):
Sb 0.500 0.500 0.500
Se 0.088 0.088 0.088
Se 0.912 0.912 0.912
H 0.000 0.000 0.000

- N(E_F): 0.000 states/eV per cell
- SG: No. 166
- E above lowest polymorph: 124.4 meV/atom


Record 16
This record from the Alexandria database describes a geometry-optimized Sb3HSe structure. The functional is GGA-PBE.

Lattice parameters (Å, degrees): 5.487 5.487 5.487 90.00 90.00 90.00
Last column: magnetic moment on the atom in μB.
Positions (direct):
Sb 0.000 0.500 0.000  -0.04
Sb 0.000 0.000 0.500  -0.06
Sb 0.500 0.000 0.000  -0.03
Se 0.000 0.000 0.000  -0.02
H 0.500 0.500 0.500  0.34

- N(E_F): 5.924 states/eV per cell
- SG: No. 221
- E above lowest polymorph: 603.7 meV/atom


Record 17
This record from the Alexandria database describes a geometry-optimized SbH2Se2 structure. The functional is GGA-PBE.

Lattice parameters (Å, degrees): 7.832 7.832 3.372 90.00 90.00 90.00
Positions (direct):
Sb 0.000 0.000 0.000
Sb 0.500 0.500 0.000
Se 0.183 0.683 0.000
Se 0.683 0.817 0.000
Se 0.817 0.317 0.000
Se 0.317 0.183 0.000
H 0.134 0.634 0.500
H 0.634 0.866 0.500
H 0.866 0.366 0.500
H 0.366 0.134 0.500

- N(E_F): 1.057 states/eV per cell
- SG: No. 127
- E above lowest polymorph: 224.6 meV/atom


Record 18
This record from the Alexandria database describes a geometry-optimized SbHSe2 structure. The functional is GGA-PBE.

Lattice parameters (Å, degrees): 5.973 5.973 6.636 63.25 63.25 90.00
Positions (direct):
Sb 0.000 0.000 0.000
Sb 0.750 0.250 0.500
Se 0.539 0.125 0.250
Se 0.211 0.625 0.250
Se 0.375 0.461 0.750
Se 0.875 0.789 0.750
H 0.500 0.500 0.000
H 0.250 0.750 0.500

- N(E_F): 1.526 states/eV per cell
- SG: No. 122
- E above lowest polymorph: 533.8 meV/atom


Record 19
This record from the Alexandria database describes a geometry-optimized SbHSe3 structure. The functional is GGA-PBE.

Lattice parameters (Å, degrees): 5.359 5.359 5.359 90.00 90.00 90.00
Last column: magnetic moment on the atom in μB.
Positions (direct):
Sb 0.000 0.000 0.000  -0.01
Se 0.000 0.500 0.000  -0.07
Se 0.000 0.000 0.500  -0.08
Se 0.500 0.000 0.000  -0.06
H 0.500 0.500 0.500  0.36

- N(E_F): 5.512 states/eV per cell
- SG: No. 221
- E above lowest polymorph: 972.5 meV/atom


Record 20
This record from the Alexandria database describes a geometry-optimized SbH2Se structure. The functional is GGA-PBE.

Lattice parameters (Å, degrees): 4.222 4.222 7.290 73.17 73.17 90.00
Positions (direct):
Sb 0.000 0.000 0.000
Sb 0.750 0.250 0.500
Se 0.500 0.500 0.000
Se 0.250 0.750 0.500
H 0.783 0.125 0.250
H 0.967 0.625 0.250
H 0.375 0.217 0.750
H 0.875 0.033 0.750

- N(E_F): 3.636 states/eV per cell
- SG: No. 122
- E above lowest polymorph: 448.5 meV/atom


Record 21
This record from the Alexandria database describes a geometry-optimized SbH2Se2 structure. The functional is GGA-PBE.

Lattice parameters (Å, degrees): 3.564 3.564 6.455 73.98 73.98 90.00
Positions (direct):
Sb 0.000 0.000 0.000
Se 0.352 0.352 0.295
Se 0.648 0.648 0.705
H 0.750 0.250 0.500
H 0.250 0.750 0.500

- N(E_F): 1.349 states/eV per cell
- SG: No. 139
- E above lowest polymorph: 597.9 meV/atom


Record 22
This record from the Alexandria database describes a geometry-optimized Sb2H2Se structure. The functional is GGA-PBE.

Lattice parameters (Å, degrees): 7.528 7.528 3.191 90.00 90.00 90.00
Positions (direct):
Sb 0.366 0.866 0.000
Sb 0.866 0.634 0.000
Sb 0.634 0.134 0.000
Sb 0.134 0.366 0.000
Se 0.000 0.000 0.000
Se 0.500 0.500 0.000
H 0.103 0.603 0.500
H 0.603 0.897 0.500
H 0.897 0.397 0.500
H 0.397 0.103 0.500

- N(E_F): 3.213 states/eV per cell
- SG: No. 127
- E above lowest polymorph: 76.3 meV/atom


Record 23
This record from the Alexandria database describes a geometry-optimized SbHSe3 structure. The functional is GGA-PBE.

Lattice parameters (Å, degrees): 7.463 8.782 8.239 89.03 129.17 125.22
Positions (direct):
Sb 0.496 0.168 0.361
Sb 0.504 0.832 0.639
H 0.785 0.672 0.384
H 0.215 0.328 0.616
Se 0.126 0.745 0.171
Se 0.033 0.291 0.363
Se 0.042 0.004 0.772
Se 0.958 0.996 0.228
Se 0.874 0.255 0.829
Se 0.967 0.709 0.637

- SG: No. 2
- E above lowest polymorph: 0.0 meV/atom


Record 24
This record from the Alexandria database describes a geometry-optimized SbHSe structure. The functional is GGA-PBE.

Lattice parameters (Å, degrees): 4.749 5.775 8.241 132.01 106.64 89.99
Positions (direct):
Sb 0.662 0.450 0.430
Sb 0.322 0.761 0.753
Se 0.282 0.182 0.672
Se 0.702 0.028 0.511
H 0.019 0.671 0.158
H 0.965 0.534 0.025

- N(E_F): 0.407 states/eV per cell
- SG: No. 1
- E above lowest polymorph: 11.4 meV/atom


Record 25
This record from the Alexandria database describes a geometry-optimized Sb2H2Se3 structure. The functional is GGA-PBE.

Lattice parameters (Å, degrees): 4.044 5.902 7.962 79.35 75.38 70.13
Positions (direct):
Sb 0.924 0.320 0.832
Sb 0.076 0.680 0.168
H 0.902 0.858 0.340
H 0.098 0.142 0.660
Se 0.500 0.000 0.000
Se 0.611 0.408 0.368
Se 0.389 0.592 0.632

- Electronic total energy: -3.61 eV/atom
- SG: No. 2


Record 26
This record from the Alexandria database describes a geometry-optimized SbHSe2 structure. The functional is GGA-PBE.

Lattice parameters (Å, degrees): 4.112 8.204 11.896 90.00 90.00 90.00
Positions (direct):
Sb 0.568 0.595 0.370
Sb 0.068 0.405 0.630
Sb 0.068 0.905 0.870
Sb 0.568 0.095 0.130
H 0.568 0.427 0.855
H 0.068 0.073 0.355
H 0.568 0.927 0.645
H 0.068 0.573 0.145
Se 0.068 0.190 0.972
Se 0.068 0.690 0.528
Se 0.568 0.810 0.028
Se 0.568 0.310 0.472
Se 0.068 0.440 0.231
Se 0.568 0.560 0.769
Se 0.568 0.060 0.731
Se 0.068 0.940 0.269

- SG: No. 62
- E above lowest polymorph: 0.0 meV/atom


Record 27
This record from the Alexandria database describes a geometry-optimized SbHSe3 structure. The functional is GGA-PBE.

Lattice parameters (Å, degrees): 4.502 4.502 4.502 90.00 90.00 90.00
Positions (direct):
Sb 0.500 0.500 0.500
Se 0.000 0.500 0.000
Se 0.000 0.000 0.500
Se 0.500 0.000 0.000
H 0.000 0.000 0.000

- N(E_F): 3.456 states/eV per cell
- SG: No. 221
- E above lowest polymorph: 697.5 meV/atom